Computed, not measured: a relaxed PaCrFe2O6 crystal at the PBE+U level of DFT.

Output
SG: P1 (1)
N(E_F): 0.000 states/eV per atom
M_tot: 11.0 μB/cell
E_tot: -8.060 eV per atom

Unit cell a=5.397 b=5.417 c=5.787 alpha=61.53 beta=61.36 gamma=59.90
Atoms (fractional coordinates):
Pa (0.814, 0.821, 0.549)
Cr (0.320, 0.322, 0.038)
Fe (0.535, 0.515, 0.424)
Fe (0.019, 0.022, 0.939)
O (0.590, 0.215, 0.249)
O (0.213, 0.940, 0.252)
O (0.932, 0.587, 0.258)
O (0.411, 0.706, 0.775)
O (0.702, 0.116, 0.770)
O (0.125, 0.418, 0.760)